No. 1
Here is AcY4In5 after structural relaxation from the Alexandria database. Energies are from PBE.

Values from the calculation:
Crystal system   tetragonal
E   -48.46 eV for the cell shown
N(E_F)   5.65 states/eV/cell
ΔE_f   -0.480 eV per atom

Cell: 3.8160 3.8160 19.3306 Å, 90.00 90.00 90.00°
Closest atoms and distances in Å follow each position.
Fractional coordinates of all 10 atoms:
Ac  0.0000  0.0000  0.0000  8 In 3.54, 4 Ac 3.82
In  0.5000  0.5000  0.1185  4 Y 3.26, 4 Ac 3.54
In  0.5000  0.5000  0.6907  8 Y 3.27-3.28
Y  0.0000  0.0000  0.4046  8 In 3.27
In  0.5000  0.5000  0.5000  8 Y 3.27
Y  0.0000  0.0000  0.5954  8 In 3.27
In  0.5000  0.5000  0.8815  4 Y 3.26, 4 Ac 3.54
In  0.5000  0.5000  0.3093  8 Y 3.27-3.28
Y  0.0000  0.0000  0.2128  8 In 3.26-3.28
Y  0.0000  0.0000  0.7872  8 In 3.26-3.28

No. 2
Here is SrP6Pd after structural relaxation from the Alexandria database. Energies are from PBE.

Values from the calculation:
Crystal system   monoclinic
E   -42.45 eV for the cell shown
ΔE_f   -0.389 eV per atom

Cell: 6.2301 5.8318 5.8318 Å, 92.64 66.53 113.47°
Closest atoms and distances in Å follow each position.
Fractional coordinates of all 8 atoms:
P  0.3290  0.9405  0.4530  2 P 2.24-2.25, 1 Pd 2.40
P  0.8062  0.4799  0.5201  3 P 2.24-2.25
P  0.3290  0.5470  0.0595  2 P 2.24-2.25, 1 Pd 2.40
P  0.1938  0.5201  0.4799  3 P 2.24-2.25
Sr  0.0000  0.0000  0.0000  2 Pd 3.12, 4 P 3.12
Pd  0.5000  0.0000  0.0000  4 P 2.40
P  0.6710  0.0595  0.5470  2 P 2.24-2.25, 1 Pd 2.40
P  0.6710  0.4530  0.9405  2 P 2.24-2.25, 1 Pd 2.40

No. 3
Here is LiBPt2 after structural relaxation from the Alexandria database. Energies are from PBE.

Values from the calculation:
Crystal system   tetragonal
E   -21.62 eV for the cell shown
N(E_F)   1.08 states/eV/cell
ΔE_f   -0.236 eV per atom

Cell: 2.7250 2.7250 6.8370 Å, 90.00 90.00 90.00°
Closest atoms and distances in Å follow each position.
Fractional coordinates of all 4 atoms:
Pt  0.0000  0.0000  0.7991  4 B 2.37
Li  0.5000  0.5000  0.5000  4 Li 2.72, 8 Pt 2.81
B  0.5000  0.5000  0.0000  8 Pt 2.37
Pt  0.0000  0.0000  0.2009  4 B 2.37

No. 4
Here is ZrSiW2 after structural relaxation from the Alexandria database. Energies are from PBE.

Values from the calculation:
Crystal system   monoclinic
E   -39.85 eV for the cell shown
N(E_F)   2.06 states/eV/cell

Cell: 5.2652 5.2652 4.4959 Å, 64.90 64.90 37.05°
Closest atoms and distances in Å follow each position.
Fractional coordinates of all 4 atoms:
W  0.0047  0.0047  0.9964  2 W 2.66, 2 Si 2.72, 4 Zr 2.80-2.81
Zr  0.4944  0.4944  0.5059  8 W 2.80-3.12, 4 Si 2.94-3.04
W  0.7359  0.7359  0.7638  2 W 2.66, 4 Si 2.81-2.82, 2 Zr 2.85
Si  0.2650  0.2650  0.2339  6 W 2.72-2.82, 4 Zr 2.94-3.04

No. 5
Here is RbB3F after structural relaxation from the Alexandria database. Energies are from PBE.

Values from the calculation:
Energy relative to the lowest polymorph listed for this composition   1.011 eV/atom
Crystal system   cubic
E   -7.56 eV for the cell shown
N(E_F)   11.04 states/eV/cell

Cell: 5.9870 5.9870 5.9870 Å, 90.00 90.00 90.00°
Closest atoms and distances in Å follow each position.
Fractional coordinates of all 5 atoms:
B  0.0000  0.5000  0.0000  2 Rb 2.99
F  0.5000  0.5000  0.5000  12 B 4.23
B  0.5000  0.0000  0.0000  2 Rb 2.99
Rb  0.0000  0.0000  0.0000  6 B 2.99
B  0.0000  0.0000  0.5000  2 Rb 2.99

No. 6
Here is BeAl2Se after structural relaxation from the Alexandria database. Energies are from PBE.

Values from the calculation:
Energy relative to the lowest polymorph listed for this composition   0.179 eV/atom
Crystal system   monoclinic
E   -13.79 eV for the cell shown
N(E_F)   1.77 states/eV/cell

Cell: 5.4980 5.4980 5.0938 Å, 63.14 63.14 30.64°
Closest atoms and distances in Å follow each position.
Fractional coordinates of all 4 atoms:
Be  0.4995  0.4995  0.4204  2 Se 2.27
Se  0.1790  0.1790  0.3406  2 Be 2.27
Al  0.0281  0.0281  0.9559  2 Be 2.67, 1 Se 2.77, 4 Al 2.91
Al  0.7934  0.7934  0.7830  2 Be 2.55